(1)
Entry from Alexandria via LeMat-Bulk: a relaxed structure of Pm2Pu2Sn7 (PBE).

Geometry as POSCAR:
```
Pm2Pu2Sn7
1.0
4.331 -5.418 0.000
4.331 5.418 0.000
0.000 0.000 7.346
Pm Pu Sn
2 2 7
Direct
0.209 0.791 0.000
0.791 0.209 0.000
0.335 0.335 0.500
0.665 0.665 0.500
0.000 0.000 0.307
0.000 0.000 0.693
0.000 0.500 0.302
0.000 0.500 0.698
0.500 0.000 0.302
0.500 0.000 0.698
0.500 0.500 0.000
```

Computed properties:
Space group   Cmmm, No. 65
Formation energy   -0.096 eV per atom
Fermi-level density of states   2.0927 states/eV/atom


(2)
Entry from Alexandria via LeMat-Bulk: a relaxed structure of Be2NiTe (PBE).

Geometry as POSCAR:
```
Be2NiTe
1.0
-1.863 1.863 3.812
1.863 -1.863 3.812
1.863 1.863 -3.812
Be Ni Te
2 1 1
Direct
0.250 0.750 0.500
0.750 0.250 0.500
0.000 0.000 0.000
0.500 0.500 0.000
```

Computed properties:
Space group   I4/mmm, No. 139
Raw formation energy   381 meV/atom
Fermi-level density of states   0.2927 states/eV/atom


(3)
Entry from Alexandria via LeMat-Bulk: a relaxed structure of Pr2YCl (PBE).

Geometry as POSCAR:
```
Pr2YCl
1.0
1.851 1.069 10.464
-1.851 1.069 10.464
0.000 -2.137 10.464
Pr Y Cl
2 1 1
Direct
0.240 0.240 0.240
0.760 0.760 0.760
0.000 0.000 0.000
0.500 0.500 0.500
```

Computed properties:
Space group   R-3m, No. 166
Raw formation energy   -669 meV/atom
Fermi-level density of states   1.0642 states/eV/atom


(4)
Entry from Alexandria via LeMat-Bulk: a relaxed structure of SrLiInBi (PBE).

Geometry as POSCAR:
```
SrLiInBi
1.0
0.000 3.912 3.912
3.912 0.000 3.912
3.912 3.912 0.000
Sr Li In Bi
1 1 1 1
Direct
0.000 0.000 0.000
0.500 0.500 0.500
0.250 0.250 0.250
0.750 0.750 0.750
```

Computed properties:
Space group   F-43m, No. 216
Formation energy   -0.396 eV per atom
Fermi-level density of states   0.9695 states/eV/atom


(5)
Entry from Alexandria via LeMat-Bulk: a relaxed structure of YAg2Au (PBE).

Geometry as POSCAR:
```
YAg2Au
1.0
-2.165 2.165 4.355
2.165 -2.165 4.355
2.165 2.165 -4.355
Y Ag Au
1 2 1
Direct
0.000 0.000 0.000
0.250 0.750 0.500
0.750 0.250 0.500
0.500 0.500 0.000
```

Computed properties:
Offset from the most stable computed form   0.029 eV per atom
Space group   I4/mmm, No. 139
Formation energy   -0.386 eV per atom
Fermi-level density of states   0.5269 states/eV/atom


(6)
Entry from Alexandria via LeMat-Bulk: a relaxed structure of La2Si4Ir5 (PBE).

Geometry as POSCAR:
```
La2Si4Ir5
1.0
0.000 4.942 7.068
2.843 0.000 7.068
2.843 4.942 0.000
La Si Ir
2 4 5
Direct
0.130 0.130 0.870
0.870 0.870 0.130
0.212 0.528 0.472
0.472 0.788 0.212
0.528 0.212 0.788
0.788 0.472 0.528
0.000 0.000 0.500
0.250 0.250 0.250
0.500 0.500 0.000
0.500 0.500 0.500
0.750 0.750 0.750
```

Computed properties:
Space group   Fmmm, No. 69
Raw formation energy   -915 meV/atom
Fermi-level density of states   0.3819 states/eV/atom


(7)
Entry from Alexandria via LeMat-Bulk: a relaxed structure of Li4HoCd15 (PBE).

Geometry as POSCAR:
```
Li4HoCd15
1.0
4.420 0.000 0.000
0.000 4.420 0.000
0.000 0.000 21.925
Li Ho Cd
4 1 15
Direct
0.000 0.000 0.096
0.000 0.000 0.294
0.000 0.000 0.706
0.000 0.000 0.904
0.000 0.000 0.500
0.000 0.500 0.000
0.000 0.500 0.195
0.000 0.500 0.391
0.000 0.500 0.609
0.000 0.500 0.805
0.500 0.000 0.000
0.500 0.000 0.195
0.500 0.000 0.391
0.500 0.000 0.609
0.500 0.000 0.805
0.500 0.500 0.098
0.500 0.500 0.292
0.500 0.500 0.500
0.500 0.500 0.708
0.500 0.500 0.902
```

Computed properties:
Space group   P4/mmm, No. 123
Formation energy   -0.181 eV per atom
Fermi-level density of states   0.2542 states/eV/atom


(8)
Entry from Alexandria via LeMat-Bulk: a relaxed structure of Tb4OsRh (PBE).

Geometry as POSCAR:
```
Tb4OsRh
1.0
4.498 -6.508 0.000
4.498 6.508 0.000
-3.517 0.000 5.234
Tb Os Rh
8 2 2
Direct
0.046 0.696 0.903
0.239 0.367 0.734
0.304 0.954 0.597
0.367 0.239 0.234
0.633 0.761 0.766
0.696 0.046 0.403
0.761 0.633 0.266
0.954 0.304 0.097
0.001 0.999 0.250
0.999 0.001 0.750
0.364 0.636 0.250
0.636 0.364 0.750
```

Computed properties:
Offset from the most stable computed form   0.000 eV per atom
Space group   C2/c, No. 15
Formation energy   -0.449 eV per atom
Fermi-level density of states   0.8622 states/eV/atom


(9)
Entry from Alexandria via LeMat-Bulk: a relaxed structure of SrNdZnAg (PBE).

Geometry as POSCAR:
```
SrNdZnAg
1.0
3.831 0.000 0.000
0.000 3.831 0.000
0.000 0.000 7.588
Sr Nd Zn Ag
1 1 1 1
Direct
0.000 0.000 0.000
0.000 0.000 0.489
0.500 0.500 0.277
0.500 0.500 0.717
```

Computed properties:
Offset from the most stable computed form   0.000 eV per atom
Space group   P4mm, No. 99
Formation energy   -0.258 eV per atom
Fermi-level density of states   0.8693 states/eV/atom


(10)
Entry from Alexandria via LeMat-Bulk: a relaxed structure of InCo2Se (PBE).

Geometry as POSCAR:
```
InCo2Se
1.0
4.098 -1.522 0.000
4.098 1.522 0.000
-0.828 0.000 5.285
In Co Se
1 2 1
Direct
0.000 0.000 0.000
0.493 0.493 0.504
0.749 0.749 0.245
0.215 0.215 0.554
```

Computed properties:
Offset from the most stable computed form   0.075 eV per atom
Space group   Cm, No. 8
Raw formation energy   169 meV/atom
Fermi-level density of states   1.0017 states/eV/atom


(11)
Entry from Alexandria via LeMat-Bulk: a relaxed structure of Li8TlAg6 (PBE).

Geometry as POSCAR:
```
Li8TlAg6
1.0
3.647 2.105 5.956
-3.647 2.105 5.956
0.000 -4.211 5.956
Li Tl Ag
8 1 6
Direct
0.113 0.385 0.636
0.231 0.231 0.231
0.364 0.887 0.615
0.385 0.636 0.113
0.615 0.364 0.887
0.636 0.113 0.385
0.769 0.769 0.769
0.887 0.615 0.364
0.500 0.500 0.500
0.088 0.880 0.357
0.120 0.643 0.912
0.357 0.088 0.880
0.643 0.912 0.120
0.880 0.357 0.088
0.912 0.120 0.643
```

Computed properties:
Space group   R-3, No. 148
Formation energy   -0.074 eV per atom
Fermi-level density of states   0.1945 states/eV/atom


(12)
Entry from Alexandria via LeMat-Bulk: a relaxed structure of NaLa2BiN (PBE).

Geometry as POSCAR:
```
NaLa2BiN
1.0
5.055 0.000 0.000
0.000 5.055 0.000
0.000 0.000 4.972
Na La Bi N
1 2 1 1
Direct
0.000 0.000 0.000
0.000 0.500 0.500
0.500 0.000 0.500
0.500 0.500 0.000
0.000 0.000 0.500
```

Computed properties:
Space group   P4/mmm, No. 123
Raw formation energy   -894 meV/atom
Fermi-level density of states   0.3320 states/eV/atom


(13)
Entry from Alexandria via LeMat-Bulk: a relaxed structure of TaMn2PtC (PBE).

Geometry as POSCAR:
```
TaMn2PtC
1.0
3.875 0.000 0.000
0.000 3.875 0.000
0.000 0.000 4.271
Ta Mn Pt C
1 2 1 1
Direct
0.000 0.000 0.000
0.000 0.500 0.500
0.500 0.000 0.500
0.500 0.500 0.000
0.000 0.000 0.500
```

Computed properties:
Space group   P4/mmm, No. 123
Formation energy   -0.238 eV per atom
Fermi-level density of states   0.8347 states/eV/atom


(14)
Entry from Alexandria via LeMat-Bulk: a relaxed structure of Cs2SnClF6 (PBE).

Geometry as POSCAR:
```
Cs2SnClF6
1.0
6.290 0.000 0.000
-2.079 6.048 0.000
-2.786 -2.207 6.260
Cs Sn Cl F
2 1 1 6
Direct
0.008 0.241 0.259
0.992 0.759 0.741
0.500 0.500 0.000
0.500 0.000 0.500
0.172 0.357 0.725
0.337 0.647 0.141
0.381 0.217 0.083
0.619 0.783 0.917
0.663 0.353 0.859
0.828 0.643 0.275
```

Computed properties:
Offset from the most stable computed form   0.000 eV per atom
Space group   P-1, No. 2
Raw formation energy   -2368 meV/atom


(15)
Entry from Alexandria via LeMat-Bulk: a relaxed structure of CsFe2CuHg (PBE).

Geometry as POSCAR:
```
CsFe2CuHg
1.0
4.805 0.000 0.000
0.000 4.805 0.000
0.000 0.000 6.298
Cs Fe Cu Hg
1 2 1 1
Direct
0.000 0.000 0.000
0.000 0.500 0.500
0.500 0.000 0.500
0.000 0.000 0.500
0.500 0.500 0.000
```

Computed properties:
Space group   P4/mmm, No. 123
Formation energy   1.115 eV per atom
Fermi-level density of states   2.0564 states/eV/atom


(16)
Entry from Alexandria via LeMat-Bulk: a relaxed structure of ErThBe17 (PBE).

Geometry as POSCAR:
```
ErThBe17
1.0
3.904 2.254 3.806
-3.904 2.254 3.806
0.000 -4.508 3.806
Er Th Be
1 1 17
Direct
0.000 0.000 0.000
0.321 0.321 0.321
0.161 0.664 0.664
0.325 0.325 0.820
0.325 0.820 0.325
0.387 0.664 0.936
0.387 0.936 0.664
0.505 0.994 0.994
0.569 0.569 0.569
0.664 0.161 0.664
0.664 0.387 0.936
0.664 0.664 0.161
0.664 0.936 0.387
0.757 0.757 0.757
0.820 0.325 0.325
0.936 0.387 0.664
0.936 0.664 0.387
0.994 0.505 0.994
0.994 0.994 0.505
```

Computed properties:
Space group   R3m, No. 160
Formation energy   -0.106 eV per atom
Fermi-level density of states   0.2036 states/eV/atom


(17)
Entry from Alexandria via LeMat-Bulk: a relaxed structure of Ce7InNi2 (PBE).

Geometry as POSCAR:
```
Ce7InNi2
1.0
4.291 -6.922 0.000
4.291 6.922 0.000
0.000 0.000 4.937
Ce In Ni
7 1 2
Direct
0.000 0.000 0.000
0.210 0.461 0.000
0.226 0.774 0.500
0.461 0.210 0.000
0.539 0.790 0.000
0.774 0.226 0.500
0.790 0.539 0.000
0.500 0.500 0.500
0.186 0.814 0.000
0.814 0.186 0.000
```

Computed properties:
Space group   Cmmm, No. 65
Formation energy   0.056 eV per atom
Fermi-level density of states   3.1940 states/eV/atom


(18)
Entry from Alexandria via LeMat-Bulk: a relaxed structure of Ba2NaRhN2 (PBE).

Geometry as POSCAR:
```
Ba2NaRhN2
1.0
6.756 0.000 0.000
0.000 8.649 0.000
0.000 0.000 4.741
Ba Na Rh N
4 2 2 4
Direct
0.111 0.247 0.000
0.389 0.747 0.500
0.611 0.253 0.500
0.889 0.753 0.000
0.000 0.500 0.500
0.500 0.000 0.000
0.000 0.000 0.500
0.500 0.500 0.000
0.237 0.590 0.000
0.263 0.090 0.500
0.737 0.910 0.500
0.763 0.410 0.000
```

Computed properties:
Space group   Pnnm, No. 58
Raw formation energy   -125 meV/atom
Fermi-level density of states   0.5274 states/eV/atom


(19)
Entry from Alexandria via LeMat-Bulk: a relaxed structure of NiPdW3 (PBE).

Geometry as POSCAR:
```
NiPdW3
1.0
4.451 0.000 0.000
0.000 4.451 0.000
0.000 0.000 4.451
Ni Pd W
1 1 3
Direct
0.000 0.000 0.000
0.500 0.500 0.500
0.000 0.000 0.500
0.000 0.500 0.000
0.500 0.000 0.000
```

Computed properties:
Offset from the most stable computed form   0.000 eV per atom
Space group   Pm-3m, No. 221
Formation energy   1.492 eV per atom
Fermi-level density of states   1.7794 states/eV/atom


(20)
Entry from Alexandria via LeMat-Bulk: a relaxed structure of USi4Ir4 (PBE).

Geometry as POSCAR:
```
USi4Ir4
1.0
6.004 0.000 0.000
0.000 6.004 0.000
0.000 0.000 8.022
U Si Ir
2 8 8
Direct
0.250 0.750 0.250
0.750 0.250 0.750
0.044 0.250 0.070
0.250 0.044 0.570
0.250 0.456 0.570
0.456 0.250 0.070
0.544 0.750 0.930
0.750 0.544 0.430
0.750 0.956 0.430
0.956 0.750 0.930
0.020 0.250 0.371
0.250 0.020 0.871
0.250 0.480 0.871
0.480 0.250 0.371
0.520 0.750 0.629
0.750 0.520 0.129
0.750 0.980 0.129
0.980 0.750 0.629
```

Computed properties:
Space group   P4_2/nmc, No. 137
Raw formation energy   -501 meV/atom
Fermi-level density of states   1.0154 states/eV/atom


(21)
Entry from Alexandria via LeMat-Bulk: a relaxed structure of LiPr2UO6 (PBE).

Geometry as POSCAR:
```
LiPr2UO6
1.0
2.970 1.715 4.930
-2.970 1.715 4.930
0.000 -3.429 4.930
Li Pr U O
1 2 1 6
Direct
0.000 0.000 0.000
0.272 0.272 0.272
0.777 0.777 0.777
0.496 0.496 0.496
0.140 0.697 0.372
0.218 0.623 0.851
0.372 0.140 0.697
0.623 0.851 0.218
0.697 0.372 0.140
0.851 0.218 0.623
```

Computed properties:
Space group   R3, No. 146
Raw formation energy   -3074 meV/atom


(22)
Entry from Alexandria via LeMat-Bulk: a relaxed structure of La7SmHo4 (PBE).

Geometry as POSCAR:
```
La7SmHo4
1.0
8.196 -3.047 0.000
8.196 3.047 0.000
-4.614 0.000 8.524
La Sm Ho
7 1 4
Direct
0.000 0.000 0.000
0.277 0.277 0.748
0.287 0.287 0.108
0.411 0.411 0.542
0.589 0.589 0.458
0.713 0.713 0.892
0.723 0.723 0.252
0.500 0.500 0.000
0.065 0.065 0.702
0.167 0.167 0.365
0.833 0.833 0.635
0.935 0.935 0.298
```

Computed properties:
Offset from the most stable computed form   0.186 eV per atom
Space group   C2/m, No. 12
Formation energy   0.200 eV per atom
Fermi-level density of states   1.7319 states/eV/atom


(23)
Entry from Alexandria via LeMat-Bulk: a relaxed structure of SrEu2P (PBE).

Geometry as POSCAR:
```
SrEu2P
1.0
2.102 1.214 11.094
-2.102 1.214 11.094
0.000 -2.427 11.094
Sr Eu P
1 2 1
Direct
0.000 0.000 0.000
0.119 0.119 0.119
0.881 0.881 0.881
0.500 0.500 0.500
```

Computed properties:
Offset from the most stable computed form   0.000 eV per atom
Space group   R-3m, No. 166
Formation energy   -0.567 eV per atom
Fermi-level density of states   5.1650 states/eV/atom